Entry 1:
## KHfSbI2 (PBEsol)

Data for a geometry-optimized KHfSbI2 structure.

Lattice parameters (Å, degrees): 5.531 5.732 5.732 90.00 90.00 90.00
Fractional coordinates of all 5 atoms:
Hf  0.000  0.000  0.000
K  0.500  0.500  0.500
I  0.000  0.500  0.000
I  0.000  0.000  0.500
Sb  0.500  0.000  0.000



Entry 2:
## LaHfIO2 (PBEsol)

Data for a geometry-optimized LaHfIO2 structure.

Lattice parameters (Å, degrees): 4.205 4.205 5.710 90.00 90.00 90.00
Fractional coordinates of all 5 atoms:
O  0.000  0.500  0.000
O  0.500  0.000  0.000
I  0.000  0.000  0.500
La  0.500  0.500  0.500
Hf  0.000  0.000  0.000



Entry 3:
## LaHfI2O (PBEsol)

Data for a geometry-optimized LaHfI2O structure.

Lattice parameters (Å, degrees): 4.182 6.330 6.330 90.00 90.00 90.00
Site moments in Bohr magnetons follow the coordinates.
Fractional coordinates of all 5 atoms:
I  0.000  0.500  0.000  0.01
I  0.000  0.000  0.500  0.01
La  0.000  0.000  0.000  -0.01
Hf  0.500  0.500  0.500  -0.93
O  0.500  0.000  0.000  -0.01



Entry 4:
## LaHfSb2I (PBEsol)

Data for a geometry-optimized LaHfSb2I structure.

Lattice parameters (Å, degrees): 5.814 5.913 5.913 90.00 90.00 90.00
Site moments in Bohr magnetons follow the coordinates.
Fractional coordinates of all 5 atoms:
Sb  0.000  0.500  0.000  0.02
Sb  0.000  0.000  0.500  0.02
La  0.000  0.000  0.000  -0.01
Hf  0.500  0.500  0.500  -0.75
I  0.500  0.000  0.000  0.01



Entry 5:
## Li2HfI (PBEsol)

Data for a geometry-optimized Li2HfI structure.

E above lowest polymorph: 0 meV/atom

Lattice parameters (Å, degrees): 5.589 6.192 6.192 78.25 63.17 63.17
Fractional coordinates of all 8 atoms:
Li  0.588  0.537  0.037
Li  0.162  0.463  0.963
Li  0.375  0.037  0.463
Li  0.875  0.963  0.537
Hf  0.000  0.000  0.000
Hf  0.750  0.500  0.500
I  0.250  0.500  0.500
I  0.500  0.000  0.000



Entry 6:
## Li2HfI (PBEsol)

Data for a geometry-optimized Li2HfI structure.

E above lowest polymorph: 259 meV/atom

Lattice parameters (Å, degrees): 4.811 4.811 4.811 60.00 60.00 60.00
Fractional coordinates of all 4 atoms:
Li  0.250  0.250  0.250
Li  0.750  0.750  0.750
I  0.000  0.000  0.000
Hf  0.500  0.500  0.500



Entry 7:
## LiHfI2N (PBEsol)

Data for a geometry-optimized LiHfI2N structure.

Lattice parameters (Å, degrees): 3.987 5.809 5.809 90.00 90.00 90.00
Fractional coordinates of all 5 atoms:
Hf  0.000  0.000  0.000
I  0.000  0.500  0.000
I  0.000  0.000  0.500
Li  0.500  0.500  0.500
N  0.500  0.000  0.000



Entry 8:
## LiHfIO2 (PBEsol)

Data for a geometry-optimized LiHfIO2 structure.

Lattice parameters (Å, degrees): 4.020 4.020 5.928 90.00 90.00 90.00
Fractional coordinates of all 5 atoms:
Hf  0.000  0.000  0.000
Li  0.500  0.500  0.500
I  0.000  0.000  0.500
O  0.500  0.000  0.000
O  0.000  0.500  0.000



Entry 9:
## LiHf2RuI (PBEsol)

Data for a geometry-optimized LiHf2RuI structure.

Lattice parameters (Å, degrees): 4.756 5.172 5.172 90.00 90.00 90.00
Fractional coordinates of all 5 atoms:
Hf  0.000  0.000  0.500
Hf  0.000  0.500  0.000
Ru  0.500  0.000  0.000
Li  0.500  0.500  0.500
I  0.000  0.000  0.000



Entry 10:
## LiHfSbI2 (PBEsol)

Data for a geometry-optimized LiHfSbI2 structure.

E above lowest polymorph: 0 meV/atom

Lattice parameters (Å, degrees): 5.572 5.633 5.633 90.00 90.00 90.00
Fractional coordinates of all 5 atoms:
Hf  0.000  0.000  0.000
I  0.000  0.500  0.000
I  0.000  0.000  0.500
Sb  0.500  0.000  0.000
Li  0.500  0.500  0.500



Entry 11:
## LiHfSbI2 (PBEsol)

Data for a geometry-optimized LiHfSbI2 structure.

E above lowest polymorph: 585 meV/atom

Lattice parameters (Å, degrees): 4.914 4.914 5.425 90.00 90.00 90.00
Fractional coordinates of all 5 atoms:
Hf  0.500  0.500  0.500
Li  0.000  0.000  0.000
Sb  0.000  0.000  0.500
I  0.000  0.500  0.000
I  0.500  0.000  0.000



Entry 12:
## HfMg3I (PBEsol)

Data for a geometry-optimized HfMg3I structure.

Lattice parameters (Å, degrees): 5.781 5.781 5.781 90.00 90.00 90.00
Site moments in Bohr magnetons follow the coordinates.
Fractional coordinates of all 5 atoms:
I  0.500  0.500  0.500  0.00
Mg  0.000  0.500  0.000  0.01
Mg  0.000  0.000  0.500  0.01
Mg  0.500  0.000  0.000  0.01
Hf  0.000  0.000  0.000  0.36



| no. | formation energy from raw total energies (eV per atom) |
| --- | --- |
| 1 | -0.5119 |
| 2 | -1.7741 |
| 3 | -0.5940 |
| 4 | 0.8305 |
| 5 | 0.2711 |
| 6 | 0.5303 |
| 7 | -0.5340 |
| 8 | -2.0354 |
| 9 | 1.2965 |
| 10 | -0.2167 |
| 11 | 0.3686 |
| 12 | 1.0566 |